VASP calculation (PBE) on a geometry-optimized Ag3GeC structure.

Cell: 4.9203 4.9203 4.9203 Å, 90.00 90.00 90.00°
Fractional coordinates of all 5 atoms:
1 Ge 0.0000 0.0000 0.0000
2 C 0.5000 0.5000 0.5000
3 Ag 0.0000 0.5000 0.0000
4 Ag 0.0000 0.0000 0.5000
5 Ag 0.5000 0.0000 0.0000

Computed properties:
- ΔE to the lowest computed polymorph: 0.914 eV per atom
- Formation enthalpy at 0 K: 1.781 eV per atom
- Space group: No. 221
- Calculated volume: 119.1 Å³/f.u.


VASP calculation (PBE) on a geometry-optimized Ac2MgScHg6 structure.

Cell: 7.3556 7.4545 7.3832 Å, 59.89 59.78 89.78°
Fractional coordinates of all 10 atoms:
1 Ac 0.3963 0.7991 0.4042
2 Ac 0.6037 0.2009 0.5958
3 Mg 0.0000 0.0000 0.0000
4 Sc 0.5000 0.5000 0.0000
5 Hg 0.1577 0.6635 0.1901
6 Hg 0.8398 0.6540 0.0123
7 Hg 0.1577 0.1464 0.5046
8 Hg 0.8423 0.3365 0.8099
9 Hg 0.1602 0.3460 0.9877
10 Hg 0.8423 0.8536 0.4954

Computed properties:
- Formation enthalpy at 0 K: -0.278 eV per atom
- Space group: No. 2
- Calculated volume: 285.4 Å³/f.u.


VASP calculation (PBE) on a geometry-optimized Zr2SbIrSe structure.

Cell: 4.8983 5.1641 4.8983 Å, 90.00 90.00 90.00°
Fractional coordinates of all 5 atoms:
1 Sb 0.0000 0.5000 0.0000
2 Ir 0.5000 0.5000 0.5000
3 Se 0.0000 0.0000 0.0000
4 Zr 0.0000 0.0000 0.5000
5 Zr 0.5000 0.0000 0.0000

Computed properties:
- ΔE to the lowest computed polymorph: 0.620 eV per atom
- Space group: No. 123
- Formation energy (no corrections): 655 meV per atom
- Calculated volume: 123.9 Å³/f.u.


no.,raw total energy (eV per atom)
1,-2.70
2,-2.07
3,-6.06